[1]
Computed, not measured: a relaxed structure of TlTc2W at the PBE level of DFT.

Cell and atoms, written as extended XYZ:
```
4
Lattice="1.4802 0.8546 9.0378 -1.4802 0.8546 9.0378 0.0000 -1.7092 9.0378" Properties=species:S:1:pos:R:3 pbc="T T T"
Tl 0.0000 0.0000 0.0000
Tc 0.0000 0.0000 6.5848
Tc 0.0000 0.0000 20.5286
W 0.0000 0.0000 13.5567
```

Results
ρ in g cm⁻³: 14.1
Energy above the most stable polymorph in this dataset in meV/atom: 130
Space-group type: No. 166



[2]
Computed, not measured: a relaxed structure of TlTc2W at the PBE level of DFT.

Cell and atoms, written as extended XYZ:
```
4
Lattice="0.0000 3.2248 3.2248 3.2248 0.0000 3.2248 3.2248 3.2248 0.0000" Properties=species:S:1:pos:R:3 pbc="T T T"
Tl 0.0000 0.0000 0.0000
Tc 3.2248 3.2248 3.2248
Tc 4.8372 4.8372 4.8372
W 1.6124 1.6124 1.6124
```

Results
ρ in g cm⁻³: 14.5
Energy above the most stable polymorph in this dataset in meV/atom: 476
Space-group type: No. 216



no.,energy of formation (eV/atom)
1,0.496
2,0.841